Entry 1:
A plane-wave DFT calculation with PBE was carried out for crystalline RuRhW2 at its relaxed geometry.

```
data_RuRhW2
_symmetry_space_group_name_H-M 'P m m 2'
_symmetry_Int_Tables_number 25
_symmetry_space_group_name_Hall 'P 2 -2'
_cell_length_a 2.793
_cell_length_b 4.473
_cell_length_c 4.812
_cell_angle_alpha 90.00
_cell_angle_beta 90.00
_cell_angle_gamma 90.00
loop_
_atom_site_label
_atom_site_fract_x
_atom_site_fract_y
_atom_site_fract_z
_atom_site_occupancy
Ru1 0.000 0.000 0.000 1
Rh1 0.000 0.500 0.360 1
W1 0.500 0.000 0.505 1
W2 0.500 0.500 0.859 1
```

Properties
DFT total energy: -10.684 eV per atom
energy above the lowest structure with this stoichiometry: 0.0291 eV per atom
volume: 60.11 Å³/cell
crystal system: orthorhombic
ΔE_f: -50 meV/atom
DOS(E_F): 0.95 states/eV per atom
calculated density: 15.79 g cm⁻³


Entry 2:
A plane-wave DFT calculation with PBE was carried out for crystalline LiYZnGa2 at its relaxed geometry.

```
data_LiYZnGa2
_symmetry_space_group_name_H-M 'I -4 m 2'
_symmetry_Int_Tables_number 119
_symmetry_space_group_name_Hall 'I -4 -2'
_cell_length_a 4.147
_cell_length_b 4.147
_cell_length_c 10.826
_cell_angle_alpha 90.00
_cell_angle_beta 90.00
_cell_angle_gamma 90.00
loop_
_atom_site_label
_atom_site_fract_x
_atom_site_fract_y
_atom_site_fract_z
_atom_site_occupancy
Li1 0.000 0.000 0.000 1
Y1 0.000 0.500 0.750 1
Zn1 0.000 0.000 0.500 1
Ga1 0.000 0.500 0.137 1
```

Properties
DFT total energy: -3.586 eV per atom
volume: 186.22 Å³/cell
crystal system: tetragonal
ΔE_f: -445 meV/atom
DOS(E_F): 0.35 states/eV per atom
calculated density: 5.36 g cm⁻³


Entry 3:
A plane-wave DFT calculation with PBE was carried out for crystalline CaNi3Pd at its relaxed geometry.

```
data_CaNi3Pd
_symmetry_space_group_name_H-M 'P m -3 m'
_symmetry_Int_Tables_number 221
_symmetry_space_group_name_Hall '-P 4 2 3'
_cell_length_a 4.636
_cell_length_b 4.636
_cell_length_c 4.636
_cell_angle_alpha 90.00
_cell_angle_beta 90.00
_cell_angle_gamma 90.00
loop_
_atom_site_label
_atom_site_fract_x
_atom_site_fract_y
_atom_site_fract_z
_atom_site_occupancy
Ca1 0.000 0.000 0.000 1
Ni1 0.000 0.500 0.500 1
Pd1 0.500 0.500 0.500 1
```

Properties
DFT total energy: -4.311 eV per atom
energy above the lowest structure with this stoichiometry: 0.0000 eV per atom
volume: 99.64 Å³/cell
crystal system: cubic
ΔE_f: 596 meV/atom
DOS(E_F): 2.14 states/eV per atom
calculated density: 5.38 g cm⁻³


Entry 4:
A plane-wave DFT calculation with PBE was carried out for crystalline CeScRu at its relaxed geometry.

```
data_CeScRu
_symmetry_space_group_name_H-M 'F -4 3 m'
_symmetry_Int_Tables_number 216
_symmetry_space_group_name_Hall 'F -4 2 3'
_cell_length_a 6.590
_cell_length_b 6.590
_cell_length_c 6.590
_cell_angle_alpha 90.00
_cell_angle_beta 90.00
_cell_angle_gamma 90.00
loop_
_atom_site_label
_atom_site_fract_x
_atom_site_fract_y
_atom_site_fract_z
_atom_site_occupancy
Ce1 0.000 0.000 0.000 1
Sc1 0.000 0.000 0.500 1
Ru1 0.250 0.250 0.750 1
```

Properties
DFT total energy: -7.385 eV per atom
energy above the lowest structure with this stoichiometry: 0.1427 eV per atom
volume: 286.16 Å³/cell
crystal system: cubic
ΔE_f: -205 meV/atom
DOS(E_F): 2.03 states/eV per atom
calculated density: 6.64 g cm⁻³


Entry 5:
A plane-wave DFT calculation with PBE was carried out for crystalline K2Np3HgSe8 at its relaxed geometry.

```
data_K2Np3HgSe8
_symmetry_space_group_name_H-M 'C 1 m 1'
_symmetry_Int_Tables_number 8
_symmetry_space_group_name_Hall 'C -2y'
_cell_length_a 14.665
_cell_length_b 8.427
_cell_length_c 9.512
_cell_angle_alpha 90.00
_cell_angle_beta 120.93
_cell_angle_gamma 90.00
loop_
_atom_site_label
_atom_site_fract_x
_atom_site_fract_y
_atom_site_fract_z
_atom_site_occupancy
K1 0.000 0.000 0.000 1
K2 0.147 0.500 0.937 1
Np1 0.008 0.000 0.524 1
Np2 0.259 0.251 0.522 1
Hg1 0.446 0.000 0.339 1
Se1 0.029 0.228 0.317 1
Se2 0.235 0.000 0.701 1
Se3 0.244 0.500 0.700 1
Se4 0.258 0.000 0.316 1
Se5 0.279 0.500 0.336 1
Se6 0.479 0.264 0.703 1
```

Properties
DFT total energy: -5.915 eV per atom
formation energy without anion corrections: -0.97 eV/atom
volume: 1008.33 Å³/cell
crystal system: monoclinic
DOS(E_F): 1.43 states/eV per atom
calculated density: 5.34 g cm⁻³


Entry 6:
A plane-wave DFT calculation with PBE was carried out for crystalline BaLa2ScO5 at its relaxed geometry.

```
data_BaLa2ScO5
_symmetry_space_group_name_H-M 'I m m m'
_symmetry_Int_Tables_number 71
_symmetry_space_group_name_Hall '-I 2 2'
_cell_length_a 4.066
_cell_length_b 6.117
_cell_length_c 11.890
_cell_angle_alpha 90.00
_cell_angle_beta 90.00
_cell_angle_gamma 90.00
loop_
_atom_site_label
_atom_site_fract_x
_atom_site_fract_y
_atom_site_fract_z
_atom_site_occupancy
Ba1 0.000 0.000 0.000 1
La1 0.000 0.500 0.216 1
Sc1 0.000 0.000 0.500 1
O1 0.000 0.233 0.362 1
O2 0.000 0.500 0.000 1
```

Properties
DFT total energy: -7.918 eV per atom
formation energy without anion corrections: -3.15 eV/atom
volume: 295.71 Å³/cell
crystal system: orthorhombic
DOS(E_F): 0.26 states/eV per atom
calculated density: 6.07 g cm⁻³


Entry 7:
A plane-wave DFT calculation with PBE was carried out for crystalline Sc6MnPt5 at its relaxed geometry.

```
data_Sc6MnPt5
_symmetry_space_group_name_H-M 'I m m m'
_symmetry_Int_Tables_number 71
_symmetry_space_group_name_Hall '-I 2 2'
_cell_length_a 4.641
_cell_length_b 6.488
_cell_length_c 13.960
_cell_angle_alpha 90.00
_cell_angle_beta 90.00
_cell_angle_gamma 90.00
loop_
_atom_site_label
_atom_site_fract_x
_atom_site_fract_y
_atom_site_fract_z
_atom_site_occupancy
Sc1 0.000 0.246 0.000 1
Sc2 0.000 0.252 0.337 1
Mn1 0.000 0.500 0.500 1
Pt1 0.000 0.000 0.162 1
Pt2 0.000 0.000 0.500 1
Pt3 0.000 0.500 0.174 1
```

Properties
DFT total energy: -7.473 eV per atom
volume: 420.35 Å³/cell
crystal system: orthorhombic
ΔE_f: -1026 meV/atom
DOS(E_F): 0.56 states/eV per atom
calculated density: 10.27 g cm⁻³


Entry 8:
A plane-wave DFT calculation with PBE was carried out for crystalline TlPb at its relaxed geometry.

```
data_TlPb
_symmetry_space_group_name_H-M 'C 1 m 1'
_symmetry_Int_Tables_number 8
_symmetry_space_group_name_Hall 'C -2y'
_cell_length_a 15.134
_cell_length_b 3.551
_cell_length_c 7.182
_cell_angle_alpha 90.00
_cell_angle_beta 103.46
_cell_angle_gamma 90.00
loop_
_atom_site_label
_atom_site_fract_x
_atom_site_fract_y
_atom_site_fract_z
_atom_site_occupancy
Tl1 0.000 0.000 0.000 1
Tl2 0.002 0.000 0.503 1
Tl3 0.332 0.000 0.168 1
Pb1 0.168 0.500 0.334 1
Pb2 0.169 0.500 0.837 1
Pb3 0.327 0.000 0.663 1
```

Properties
DFT total energy: -3.049 eV per atom
volume: 375.42 Å³/cell
crystal system: monoclinic
ΔE_f: -12 meV/atom
DOS(E_F): 0.43 states/eV per atom
calculated density: 10.92 g cm⁻³


- Look up the DFT total energy of the fifth one.
  -5.915 eV per atom


Repeat the second record exactly.
A plane-wave DFT calculation with PBE was carried out for crystalline LiYZnGa2 at its relaxed geometry.

```
data_LiYZnGa2
_symmetry_space_group_name_H-M 'I -4 m 2'
_symmetry_Int_Tables_number 119
_symmetry_space_group_name_Hall 'I -4 -2'
_cell_length_a 4.147
_cell_length_b 4.147
_cell_length_c 10.826
_cell_angle_alpha 90.00
_cell_angle_beta 90.00
_cell_angle_gamma 90.00
loop_
_atom_site_label
_atom_site_fract_x
_atom_site_fract_y
_atom_site_fract_z
_atom_site_occupancy
Li1 0.000 0.000 0.000 1
Y1 0.000 0.500 0.750 1
Zn1 0.000 0.000 0.500 1
Ga1 0.000 0.500 0.137 1
```

Properties
DFT total energy: -3.586 eV per atom
volume: 186.22 Å³/cell
crystal system: tetragonal
ΔE_f: -445 meV/atom
DOS(E_F): 0.35 states/eV per atom
calculated density: 5.36 g cm⁻³


- Which value of DFT total energy does entry 6 give?
  -7.918 eV per atom